Entry A
Material: Er3Mg2Sc3
Method: DFT, PBE
State: optimized geometry

a b c (Å): 9.743 9.743 9.743
angles (deg): 151.61 151.22 40.87
Sites, in units of the cell vectors:
1 Er 0.000 0.000 0.000
2 Er 0.373 0.873 0.500
3 Er 0.627 0.127 0.500
4 Mg 0.250 0.250 0.000
5 Mg 0.750 0.750 0.000
6 Sc 0.129 0.629 0.500
7 Sc 0.500 0.500 0.000
8 Sc 0.871 0.371 0.500

Summary:
ρ = 5.4 g/cm3
symmetry = Immm (71)


Entry B
Material: Er3Mg2Sc3
Method: DFT, PBE
State: optimized geometry

a b c (Å): 6.480 6.480 20.702
angles (deg): 90.00 90.00 150.68
Sites, in units of the cell vectors:
1 Er 0.118 0.882 0.750
2 Er 0.127 0.873 0.010
3 Er 0.127 0.873 0.490
4 Er 0.873 0.127 0.510
5 Er 0.873 0.127 0.990
6 Er 0.882 0.118 0.250
7 Mg 0.256 0.744 0.628
8 Mg 0.256 0.744 0.872
9 Mg 0.744 0.256 0.128
10 Mg 0.744 0.256 0.372
11 Sc 0.137 0.863 0.250
12 Sc 0.485 0.515 0.124
13 Sc 0.485 0.515 0.376
14 Sc 0.515 0.485 0.624
15 Sc 0.515 0.485 0.876
16 Sc 0.863 0.137 0.750

Summary:
ρ = 5.3 g/cm3
symmetry = Cmcm (63)


Which structure is the most stable? The one labeled entry A.


Entry A
Material: SmErMgSc
Method: DFT, PBE
State: optimized geometry

a b c (Å): 5.397 5.397 5.397
angles (deg): 60.00 60.00 60.00
Sites, in units of the cell vectors:
1 Sm 0.000 0.000 0.000
2 Er 0.500 0.500 0.500
3 Mg 0.250 0.250 0.250
4 Sc 0.750 0.750 0.750

Summary:
ρ = 5.8 g/cm3
symmetry = F-43m (216)


Entry B
Material: SmErMgSc
Method: DFT, PBE
State: optimized geometry

a b c (Å): 3.470 3.471 9.269
angles (deg): 89.99 89.93 90.00
Sites, in units of the cell vectors:
1 Sm 0.000 0.000 0.000
2 Er 0.500 0.500 0.278
3 Mg 0.500 0.499 0.743
4 Sc 0.000 0.000 0.526

Summary:
ρ = 5.8 g/cm3
symmetry = P1 (1)


Which structure is the most stable? The one labeled entry B.


Entry A
Material: TbErMgSc
Method: DFT, PBE
State: optimized geometry

a b c (Å): 3.461 3.461 9.175
angles (deg): 90.00 90.00 90.00
Sites, in units of the cell vectors:
1 Tb 0.000 0.000 0.000
2 Er 0.500 0.500 0.725
3 Mg 0.499 0.499 0.254
4 Sc 0.000 0.000 0.475

Summary:
ρ = 6.0 g/cm3
symmetry = Cm (8)


Entry B
Material: TbErMgSc
Method: DFT, PBE
State: optimized geometry

a b c (Å): 5.365 5.365 5.365
angles (deg): 60.00 60.00 60.00
Sites, in units of the cell vectors:
1 Tb 0.000 0.000 0.000
2 Er 0.500 0.500 0.500
3 Mg 0.250 0.250 0.250
4 Sc 0.750 0.750 0.750

Summary:
ρ = 6.0 g/cm3
symmetry = F-43m (216)


Which structure is the most stable? The one labeled entry A.


Entry A
Material: Er2MgSe4
Method: DFT, PBE
State: optimized geometry

a b c (Å): 14.051 8.163 6.812
angles (deg): 90.00 90.00 90.00
Sites, in units of the cell vectors:
1 Er 0.000 0.000 0.000
2 Er 0.000 0.500 0.000
3 Er 0.235 0.250 0.497
4 Er 0.265 0.750 0.997
5 Er 0.500 0.000 0.500
6 Er 0.500 0.500 0.500
7 Er 0.735 0.250 0.003
8 Er 0.765 0.750 0.503
9 Mg 0.094 0.750 0.414
10 Mg 0.406 0.250 0.914
11 Mg 0.594 0.750 0.086
12 Mg 0.906 0.250 0.586
13 Se 0.074 0.250 0.749
14 Se 0.090 0.750 0.786
15 Se 0.171 0.504 0.233
16 Se 0.171 0.996 0.233
17 Se 0.329 0.004 0.733
18 Se 0.329 0.496 0.733
19 Se 0.410 0.250 0.286
20 Se 0.426 0.750 0.249
21 Se 0.574 0.250 0.751
22 Se 0.590 0.750 0.714
23 Se 0.671 0.504 0.267
24 Se 0.671 0.996 0.267
25 Se 0.829 0.004 0.767
26 Se 0.829 0.496 0.767
27 Se 0.910 0.250 0.214
28 Se 0.926 0.750 0.251

Summary:
ρ = 5.7 g/cm3
symmetry = Pnma (62)


Entry B
Material: Er2MgSe4
Method: DFT, PBE
State: optimized geometry

a b c (Å): 8.104 7.674 11.923
angles (deg): 90.00 90.00 90.00
Sites, in units of the cell vectors:
1 Er 0.054 0.250 0.013
2 Er 0.068 0.750 0.313
3 Er 0.432 0.250 0.813
4 Er 0.446 0.750 0.513
5 Er 0.554 0.250 0.487
6 Er 0.568 0.750 0.187
7 Er 0.932 0.250 0.687
8 Er 0.946 0.750 0.987
9 Mg 0.173 0.250 0.397
10 Mg 0.327 0.750 0.897
11 Mg 0.673 0.250 0.103
12 Mg 0.827 0.750 0.603
13 Se 0.121 0.750 0.549
14 Se 0.122 0.000 0.839
15 Se 0.122 0.500 0.839
16 Se 0.243 0.750 0.108
17 Se 0.257 0.250 0.608
18 Se 0.378 0.000 0.339
19 Se 0.378 0.500 0.339
20 Se 0.379 0.250 0.049
21 Se 0.621 0.750 0.951
22 Se 0.622 0.000 0.661
23 Se 0.622 0.500 0.661
24 Se 0.743 0.750 0.392
25 Se 0.757 0.250 0.892
26 Se 0.878 0.000 0.161
27 Se 0.878 0.500 0.161
28 Se 0.879 0.250 0.451

Summary:
ρ = 6.0 g/cm3
symmetry = Pnma (62)


Which structure is the most stable? The one labeled entry A.


Entry A
Material: Sm12Er7Mg
Method: DFT, PBE
State: optimized geometry

a b c (Å): 9.920 9.920 9.920
angles (deg): 109.47 109.47 109.47
Sites, in units of the cell vectors:
1 Sm 0.001 0.753 0.248
2 Sm 0.247 0.248 0.494
3 Sm 0.247 0.752 0.999
4 Sm 0.248 0.001 0.753
5 Sm 0.248 0.494 0.247
6 Sm 0.494 0.247 0.248
7 Sm 0.506 0.753 0.752
8 Sm 0.752 0.506 0.753
9 Sm 0.752 0.999 0.247
10 Sm 0.753 0.248 0.001
11 Sm 0.753 0.752 0.506
12 Sm 0.999 0.247 0.752
13 Er 0.000 0.000 0.500
14 Er 0.000 0.500 0.000
15 Er 0.000 0.500 0.500
16 Er 0.500 0.000 0.000
17 Er 0.500 0.000 0.500
18 Er 0.500 0.500 0.000
19 Er 0.500 0.500 0.500
20 Mg 0.000 0.000 0.000

Summary:
ρ = 6.6 g/cm3
symmetry = Im-3 (204)


Entry B
Material: Sm12Er7Mg
Method: DFT, PBE
State: optimized geometry

a b c (Å): 9.285 9.285 9.285
angles (deg): 107.64 107.64 107.64
Sites, in units of the cell vectors:
1 Sm 0.100 0.205 0.441
2 Sm 0.118 0.824 0.282
3 Sm 0.176 0.718 0.882
4 Sm 0.205 0.441 0.100
5 Sm 0.282 0.118 0.824
6 Sm 0.441 0.100 0.205
7 Sm 0.559 0.900 0.795
8 Sm 0.718 0.882 0.176
9 Sm 0.795 0.559 0.900
10 Sm 0.824 0.282 0.118
11 Sm 0.882 0.176 0.718
12 Sm 0.900 0.795 0.559
13 Er 0.000 0.000 0.000
14 Er 0.184 0.603 0.494
15 Er 0.397 0.506 0.816
16 Er 0.494 0.184 0.603
17 Er 0.506 0.816 0.397
18 Er 0.603 0.494 0.184
19 Er 0.816 0.397 0.506
20 Mg 0.500 0.500 0.500

Summary:
ρ = 7.6 g/cm3
symmetry = R-3 (148)


Which structure is the most stable? The one labeled entry B.


Entry A
Material: Sm2ErMg4
Method: DFT, PBE
State: optimized geometry

a b c (Å): 9.006 9.006 9.006
angles (deg): 144.07 144.07 51.72
Sites, in units of the cell vectors:
1 Sm 0.106 0.106 0.000
2 Sm 0.894 0.894 0.000
3 Er 0.500 0.500 0.000
4 Mg 0.000 0.500 0.500
5 Mg 0.313 0.313 0.000
6 Mg 0.500 0.000 0.500
7 Mg 0.687 0.687 0.000

Summary:
ρ = 3.8 g/cm3
symmetry = I4/mmm (139)


Entry B
Material: Sm2ErMg4
Method: DFT, PBE
State: optimized geometry

a b c (Å): 8.206 8.206 8.206
angles (deg): 141.48 141.48 55.61
Sites, in units of the cell vectors:
1 Sm 0.248 0.248 0.000
2 Sm 0.752 0.752 0.000
3 Er 0.500 0.500 0.000
4 Mg 0.114 0.614 0.500
5 Mg 0.386 0.886 0.500
6 Mg 0.614 0.114 0.500
7 Mg 0.886 0.386 0.500

Summary:
ρ = 4.4 g/cm3
symmetry = I4/mmm (139)


Which structure is the most stable? The one labeled entry B.